A plane-wave DFT calculation with GGA-PBE was carried out for a relaxed HfScCoCu crystal.

Calculated values
spin magnetization: 0.00 μB/f.u.
uncorrected energy: -7.16 eV/atom
crystal system: cubic

CIF file:
```
data_HfScCoCu
_symmetry_space_group_name_H-M 'F -4 3 m'
_symmetry_Int_Tables_number 216
_symmetry_space_group_name_Hall 'F -4 2 3'
_cell_length_a 6.375
_cell_length_b 6.375
_cell_length_c 6.375
_cell_angle_alpha 90.00
_cell_angle_beta 90.00
_cell_angle_gamma 90.00
loop_
_atom_site_label
_atom_site_fract_x
_atom_site_fract_y
_atom_site_fract_z
Hf1 0.000 0.000 0.000
Sc1 0.000 0.000 0.500
Co1 0.250 0.250 0.750
Cu1 0.250 0.250 0.250
```